No. 1
{"formula": "CsNaLiI3", "functional": "PBE-GGA", "state": "relaxed", "formation_energy_uncorrected_mev_per_atom": -1345, "density_g_cm3": 3.7, "final_energy_ev_per_atom": -2.80, "magnetic_moment_mub_per_cell": 0.0, "vol_a3_per_atom": 41.09, "lattice_angstrom": [[2.414, -8.384, 0.000], [2.414, 8.384, 0.000], [0.000, 0.000, 12.181]], "species": ["Cs", "Cs", "Na", "Na", "Li", "Li", "I", "I", "I", "I", "I", "I"], "fractional_positions": [[0.246, 0.754, 0.750], [0.754, 0.246, 0.250], [0.500, 0.500, 0.000], [0.500, 0.500, 0.500], [0.032, 0.968, 0.250], [0.968, 0.032, 0.750], [0.125, 0.875, 0.064], [0.125, 0.875, 0.436], [0.441, 0.559, 0.250], [0.559, 0.441, 0.750], [0.875, 0.125, 0.564], [0.875, 0.125, 0.936]]}

No. 2
{"formula": "CsNa2LiI4", "functional": "PBE-GGA", "state": "relaxed", "formation_energy_uncorrected_mev_per_atom": -1311, "density_g_cm3": 3.6, "final_energy_ev_per_atom": -2.76, "magnetic_moment_mub_per_cell": 0.0, "vol_a3_per_atom": 39.65, "lattice_angstrom": [[2.381, -8.217, 0.000], [2.381, 8.217, 0.000], [0.000, 0.000, 16.210]], "species": ["Cs", "Cs", "Na", "Na", "Na", "Na", "Li", "Li", "I", "I", "I", "I", "I", "I", "I", "I"], "fractional_positions": [[0.114, 0.886, 0.750], [0.886, 0.114, 0.250], [0.373, 0.627, 0.549], [0.373, 0.627, 0.951], [0.627, 0.373, 0.049], [0.627, 0.373, 0.451], [0.160, 0.840, 0.250], [0.840, 0.160, 0.750], [0.000, 0.000, 0.000], [0.000, 0.000, 0.500], [0.256, 0.744, 0.113], [0.256, 0.744, 0.387], [0.429, 0.571, 0.750], [0.571, 0.429, 0.250], [0.744, 0.256, 0.613], [0.744, 0.256, 0.887]]}

No. 3
{"formula": "CsLiNbI6", "functional": "PBE-GGA", "state": "relaxed", "formation_energy_uncorrected_mev_per_atom": -826, "density_g_cm3": 3.8, "final_energy_ev_per_atom": -3.29, "magnetic_moment_mub_per_cell": 2.0, "vol_a3_per_atom": 48.11, "lattice_angstrom": [[7.564, 0.000, 0.000], [-3.782, 6.551, 0.000], [0.000, 0.000, 17.474]], "species": ["Cs", "Cs", "Li", "Li", "Nb", "Nb", "I", "I", "I", "I", "I", "I", "I", "I", "I", "I", "I", "I"], "fractional_positions": [[0.000, 0.000, 0.000], [0.000, 0.000, 0.500], [0.333, 0.667, 0.250], [0.667, 0.333, 0.750], [0.333, 0.667, 0.750], [0.667, 0.333, 0.250], [0.016, 0.376, 0.657], [0.016, 0.640, 0.843], [0.360, 0.376, 0.843], [0.360, 0.984, 0.657], [0.376, 0.016, 0.157], [0.376, 0.360, 0.343], [0.624, 0.640, 0.657], [0.624, 0.984, 0.843], [0.640, 0.016, 0.343], [0.640, 0.624, 0.157], [0.984, 0.360, 0.157], [0.984, 0.624, 0.343]]}